#a
{
  "formula": "Sr3ScIr",
  "functional": "PBE",
  "state": "optimized geometry",
  "spacegroup": "Pm-3m",
  "magmom_total_mub_per_fu": 4.23,
  "lattice_angstrom": [[5.8384, 0.0000, 0.0000], [0.0000, 5.8384, 0.0000], [0.0000, 0.0000, 5.8384]],
  "species": ["Sr", "Sr", "Sr", "Sc", "Ir"],
  "fractional_positions": [[0.0000, 0.0000, 0.5000], [0.0000, 0.5000, 0.0000], [0.5000, 0.0000, 0.0000], [0.0000, 0.0000, 0.0000], [0.5000, 0.5000, 0.5000]]
}

#b
{
  "formula": "Sr3ScIr",
  "functional": "PBE",
  "state": "optimized geometry",
  "spacegroup": "Pm-3m",
  "magmom_total_mub_per_fu": 0.00,
  "lattice_angstrom": [[5.8141, 0.0000, 0.0000], [0.0000, 5.8141, 0.0000], [0.0000, 0.0000, 5.8141]],
  "species": ["Sr", "Sr", "Sr", "Sc", "Ir"],
  "fractional_positions": [[0.0000, 0.0000, 0.5000], [0.0000, 0.5000, 0.0000], [0.5000, 0.0000, 0.0000], [0.5000, 0.5000, 0.5000], [0.0000, 0.0000, 0.0000]]
}

Of them, #a has the lowest stability.

#a
{
  "formula": "SrScIr",
  "functional": "PBE",
  "state": "optimized geometry",
  "spacegroup": "P3m1",
  "magmom_total_mub_per_fu": 0.00,
  "lattice_angstrom": [[4.1532, 0.0000, 0.0000], [-2.0766, 3.5968, 0.0000], [0.0000, 0.0000, 5.9226]],
  "species": ["Sr", "Sc", "Ir"],
  "fractional_positions": [[0.0000, 0.0000, 0.0000], [0.3333, 0.6667, 0.4794], [0.6667, 0.3333, 0.3174]]
}

#b
{
  "formula": "SrScIr",
  "functional": "PBE",
  "state": "optimized geometry",
  "spacegroup": "F-43m",
  "magmom_total_mub_per_fu": 0.00,
  "lattice_angstrom": [[6.7422, 0.0000, 0.0000], [0.0000, 6.7422, 0.0000], [0.0000, 0.0000, 6.7422]],
  "species": ["Sr", "Sr", "Sr", "Sr", "Sc", "Sc", "Sc", "Sc", "Ir", "Ir", "Ir", "Ir"],
  "fractional_positions": [[0.0000, 0.0000, 0.0000], [0.0000, 0.5000, 0.5000], [0.5000, 0.0000, 0.5000], [0.5000, 0.5000, 0.0000], [0.2500, 0.2500, 0.7500], [0.2500, 0.7500, 0.2500], [0.7500, 0.2500, 0.2500], [0.7500, 0.7500, 0.7500], [0.2500, 0.2500, 0.2500], [0.2500, 0.7500, 0.7500], [0.7500, 0.2500, 0.7500], [0.7500, 0.7500, 0.2500]]
}

Of them, #b has the lowest stability.

#a
{
  "formula": "ScTaIr",
  "functional": "PBE",
  "state": "optimized geometry",
  "spacegroup": "I4mm",
  "magmom_total_mub_per_fu": 0.00,
  "lattice_angstrom": [[3.1765, 0.0000, 0.0000], [0.0000, 3.1765, 0.0000], [0.0000, 0.0000, 10.5017]],
  "species": ["Sc", "Sc", "Ta", "Ta", "Ir", "Ir"],
  "fractional_positions": [[0.0000, 0.0000, 0.0000], [0.5000, 0.5000, 0.5000], [0.0000, 0.0000, 0.3147], [0.5000, 0.5000, 0.8147], [0.0000, 0.0000, 0.6665], [0.5000, 0.5000, 0.1665]]
}

#b
{
  "formula": "ScTaIr",
  "functional": "PBE",
  "state": "optimized geometry",
  "spacegroup": "P3m1",
  "magmom_total_mub_per_fu": 0.00,
  "lattice_angstrom": [[4.5315, 0.0000, 0.0000], [-2.2657, 3.9244, 0.0000], [0.0000, 0.0000, 2.9403]],
  "species": ["Sc", "Ta", "Ir"],
  "fractional_positions": [[0.0000, 0.0000, 0.0000], [0.3333, 0.6667, 0.3945], [0.6667, 0.3333, 0.6522]]
}

Of them, #b has the lowest stability.

#a
{
  "formula": "ScTaIr",
  "functional": "PBE",
  "state": "optimized geometry",
  "spacegroup": "F-43m",
  "magmom_total_mub_per_fu": 0.00,
  "lattice_angstrom": [[6.2650, 0.0000, 0.0000], [0.0000, 6.2650, 0.0000], [0.0000, 0.0000, 6.2650]],
  "species": ["Sc", "Sc", "Sc", "Sc", "Ta", "Ta", "Ta", "Ta", "Ir", "Ir", "Ir", "Ir"],
  "fractional_positions": [[0.0000, 0.0000, 0.0000], [0.0000, 0.5000, 0.5000], [0.5000, 0.0000, 0.5000], [0.5000, 0.5000, 0.0000], [0.0000, 0.0000, 0.5000], [0.0000, 0.5000, 0.0000], [0.5000, 0.0000, 0.0000], [0.5000, 0.5000, 0.5000], [0.2500, 0.2500, 0.2500], [0.2500, 0.7500, 0.7500], [0.7500, 0.2500, 0.7500], [0.7500, 0.7500, 0.2500]]
}

#b
{
  "formula": "ScTaIr",
  "functional": "PBE",
  "state": "optimized geometry",
  "spacegroup": "P-62m",
  "magmom_total_mub_per_fu": 0.00,
  "lattice_angstrom": [[6.6502, 0.0000, 0.0000], [-3.3251, 5.7592, 0.0000], [0.0000, 0.0000, 4.4896]],
  "species": ["Sc", "Sc", "Sc", "Ta", "Ta", "Ta", "Ir", "Ir", "Ir"],
  "fractional_positions": [[0.0000, 0.5777, 0.0000], [0.4223, 0.4223, 0.0000], [0.5777, 0.0000, 0.0000], [0.0000, 0.2493, 0.5000], [0.2493, 0.0000, 0.5000], [0.7507, 0.7507, 0.5000], [0.0000, 0.0000, 0.0000], [0.3333, 0.6667, 0.5000], [0.6667, 0.3333, 0.5000]]
}

Of them, #a has the lowest stability.

#a
{
  "formula": "ScTcIr",
  "functional": "PBE",
  "state": "optimized geometry",
  "spacegroup": "Cmcm",
  "magmom_total_mub_per_fu": 0.00,
  "lattice_angstrom": [[4.0611, 0.0000, 0.0000], [0.0000, 12.0372, 0.0000], [0.0000, 0.0000, 4.0440]],
  "species": ["Sc", "Sc", "Sc", "Sc", "Tc", "Tc", "Tc", "Tc", "Ir", "Ir", "Ir", "Ir"],
  "fractional_positions": [[0.0000, 0.2478, 0.2500], [0.0000, 0.7522, 0.7500], [0.5000, 0.2522, 0.7500], [0.5000, 0.7478, 0.2500], [0.0000, 0.0632, 0.7500], [0.0000, 0.9368, 0.2500], [0.5000, 0.4368, 0.2500], [0.5000, 0.5632, 0.7500], [0.0000, 0.4242, 0.7500], [0.0000, 0.5758, 0.2500], [0.5000, 0.0758, 0.2500], [0.5000, 0.9242, 0.7500]]
}

#b
{
  "formula": "ScTcIr",
  "functional": "PBE",
  "state": "optimized geometry",
  "spacegroup": "Cmmm",
  "magmom_total_mub_per_fu": 0.00,
  "lattice_angstrom": [[4.0411, 0.0000, 0.0000], [0.0000, 11.9578, 0.0000], [0.0000, 0.0000, 4.0885]],
  "species": ["Sc", "Sc", "Sc", "Sc", "Tc", "Tc", "Tc", "Tc", "Ir", "Ir", "Ir", "Ir"],
  "fractional_positions": [[0.0000, 0.0000, 0.0000], [0.0000, 0.5000, 0.5000], [0.5000, 0.0000, 0.5000], [0.5000, 0.5000, 0.0000], [0.0000, 0.1856, 0.5000], [0.0000, 0.8144, 0.5000], [0.5000, 0.3144, 0.5000], [0.5000, 0.6856, 0.5000], [0.0000, 0.3249, 0.0000], [0.0000, 0.6751, 0.0000], [0.5000, 0.1751, 0.0000], [0.5000, 0.8249, 0.0000]]
}

Of them, #a has the lowest stability.

#a
{
  "formula": "ScTcIr",
  "functional": "PBE",
  "state": "optimized geometry",
  "spacegroup": "Amm2",
  "magmom_total_mub_per_fu": 0.00,
  "lattice_angstrom": [[5.0328, 0.0000, 0.0000], [0.0000, 4.3598, 0.0000], [0.0000, 0.0000, 9.6910]],
  "species": ["Sc", "Sc", "Sc", "Sc", "Tc", "Tc", "Tc", "Tc", "Ir", "Ir", "Ir", "Ir"],
  "fractional_positions": [[0.0000, 0.0000, 0.0000], [0.0000, 0.5000, 0.5000], [0.5000, 0.0000, 0.4169], [0.5000, 0.5000, 0.9169], [0.2333, 0.0000, 0.7007], [0.2333, 0.5000, 0.2007], [0.7667, 0.0000, 0.7007], [0.7667, 0.5000, 0.2007], [0.0000, 0.0000, 0.3025], [0.0000, 0.5000, 0.8025], [0.5000, 0.0000, 0.1337], [0.5000, 0.5000, 0.6337]]
}

#b
{
  "formula": "ScTcIr",
  "functional": "PBE",
  "state": "optimized geometry",
  "spacegroup": "I4mm",
  "magmom_total_mub_per_fu": 0.00,
  "lattice_angstrom": [[3.2319, 0.0000, 0.0000], [0.0000, 3.2319, 0.0000], [0.0000, 0.0000, 9.3635]],
  "species": ["Sc", "Sc", "Tc", "Tc", "Ir", "Ir"],
  "fractional_positions": [[0.0000, 0.0000, 0.0000], [0.5000, 0.5000, 0.5000], [0.0000, 0.0000, 0.3258], [0.5000, 0.5000, 0.8258], [0.0000, 0.0000, 0.6719], [0.5000, 0.5000, 0.1719]]
}

Of them, #b has the lowest stability.